Record 1
{"formula": "Al2MoCl", "functional": "GGA-PBEsol", "state": "relaxed", "cell": [[3.776, 0.000, 0.000], [0.000, 3.776, 0.000], [-1.888, -1.888, 4.549]], "species": ["Al", "Al", "Mo", "Cl"], "frac_coords": [[0.000, 0.000, 0.000], [0.750, 0.250, 0.500], [0.250, 0.750, 0.500], [0.500, 0.500, 0.000]], "magnetic_moment_mub_per_atom": 0.000, "polymorph_energy_ev_per_atom": 0.423, "e_form_raw_ev_per_atom": 0.47, "n_ef_per_ev_cell": 2.32, "space_group": "No. 119", "rho_kg_m3": 4745}

---

Record 2
{"formula": "CaMg3Ta", "functional": "GGA-PBEsol", "state": "relaxed", "cell": [[-4.778, 0.121, 2.416], [-1.388, -4.518, -2.519], [1.981, -2.873, 4.062]], "species": ["Mg", "Mg", "Mg", "Ta", "Ca"], "frac_coords": [[0.000, 0.000, 0.500], [0.000, 0.500, 0.000], [0.500, 0.000, 0.000], [0.000, 0.000, 0.000], [0.500, 0.500, 0.500]], "magnetic_moment_mub_per_atom": 0.561, "n_ef_per_ev_cell": 4.55, "final_energy_ev_per_atom": -3.0205, "space_group": "No. 221", "rho_kg_m3": 3178}

---

Record 3
{"formula": "HfGeCl3", "functional": "GGA-PBEsol", "state": "relaxed", "cell": [[4.915, 0.000, 0.000], [0.000, 4.915, 0.000], [0.000, 0.000, 4.915]], "species": ["Hf", "Ge", "Cl", "Cl", "Cl"], "frac_coords": [[0.000, 0.000, 0.000], [0.500, 0.500, 0.500], [0.000, 0.000, 0.500], [0.500, 0.000, 0.000], [0.000, 0.500, 0.000]], "magnetic_moment_mub_per_atom": 0.345, "e_form_raw_ev_per_atom": -0.50, "n_ef_per_ev_cell": 5.12, "space_group": "No. 221", "rho_kg_m3": 4998}

---

Record 4
{"formula": "Be3PCl", "functional": "GGA-PBEsol", "state": "relaxed", "cell": [[4.097, 0.000, 0.000], [0.000, 4.097, 0.000], [0.000, 0.000, 4.097]], "species": ["Be", "Be", "Be", "P", "Cl"], "frac_coords": [[0.000, 0.500, 0.000], [0.000, 0.000, 0.500], [0.500, 0.000, 0.000], [0.500, 0.500, 0.500], [0.000, 0.000, 0.000]], "magnetic_moment_mub_per_atom": 0.000, "e_form_raw_ev_per_atom": 1.15, "n_ef_per_ev_cell": 3.13, "space_group": "No. 221", "rho_kg_m3": 2257}

---

Record 5
{"formula": "KFePt2", "functional": "GGA-PBEsol", "state": "relaxed", "cell": [[2.719, 0.000, 0.000], [0.000, 5.098, 0.005], [0.000, -1.845, 4.752]], "species": ["Pt", "Pt", "Fe", "K"], "frac_coords": [[0.000, 0.000, 0.500], [0.000, 0.500, 0.000], [0.500, 0.000, 0.000], [0.500, 0.500, 0.500]], "magnetic_moment_mub_per_atom": 0.848, "polymorph_energy_ev_per_atom": 0.240, "n_ef_per_ev_cell": 2.82, "space_group": "No. 65", "rho_kg_m3": 12223}

---

Record 6
{"formula": "CdPd5Se", "functional": "GGA-PBEsol", "state": "relaxed", "cell": [[3.990, 0.000, 0.000], [0.000, 3.990, 0.000], [0.000, 0.000, 6.991]], "species": ["Pd", "Pd", "Pd", "Pd", "Pd", "Cd", "Se"], "frac_coords": [[0.000, 0.000, 0.000], [0.000, 0.500, 0.285], [0.000, 0.500, 0.715], [0.500, 0.000, 0.285], [0.500, 0.000, 0.715], [0.500, 0.500, 0.000], [0.000, 0.000, 0.500]], "magnetic_moment_mub_per_atom": 0.000, "e_form_raw_ev_per_atom": -0.30, "n_ef_per_ev_cell": 1.85, "space_group": "No. 123", "rho_kg_m3": 10796}

---

Record 7
{"formula": "CaSc2Al", "functional": "GGA-PBEsol", "state": "relaxed", "cell": [[-1.442, 2.563, 1.506], [-2.925, 1.109, -1.064], [-6.302, -5.322, 6.645]], "species": ["Al", "Sc", "Sc", "Ca"], "frac_coords": [[0.495, 0.495, 0.515], [0.007, 0.007, 0.980], [0.755, 0.755, 0.734], [0.243, 0.243, 0.272]], "magnetic_moment_mub_per_atom": 0.134, "n_ef_per_ev_cell": 5.55, "final_energy_ev_per_atom": -4.8079, "space_group": "No. 160", "rho_kg_m3": 2646}

---

Record 8
{"formula": "KZr2As", "functional": "GGA-PBEsol", "state": "relaxed", "cell": [[3.416, 0.000, 0.000], [0.000, 5.437, 0.000], [-1.708, -2.718, 5.370]], "species": ["As", "Zr", "Zr", "K"], "frac_coords": [[0.500, 0.000, 0.000], [0.190, 0.190, 0.380], [0.810, 0.810, 0.620], [0.000, 0.500, 0.000]], "magnetic_moment_mub_per_atom": 0.000, "n_ef_per_ev_cell": 5.68, "final_energy_ev_per_atom": -6.0528, "space_group": "No. 71", "rho_kg_m3": 4936}

---

Record 9
{"formula": "CaB2H8O8", "functional": "GGA-PBEsol", "state": "relaxed", "cell": [[-4.303, 2.278, 2.741], [-0.703, -3.483, 6.666], [3.090, 3.897, 5.966]], "species": ["O", "O", "O", "O", "O", "O", "O", "O", "O", "O", "O", "O", "O", "O", "O", "O", "H", "H", "H", "H", "H", "H", "H", "H", "H", "H", "H", "H", "H", "H", "H", "H", "B", "B", "B", "B", "Ca", "Ca"], "frac_coords": [[0.757, 0.090, 0.937], [0.005, 0.848, 0.383], [0.583, 0.568, 0.162], [0.056, 0.179, 0.174], [0.417, 0.432, 0.838], [0.995, 0.152, 0.617], [0.437, 0.780, 0.681], [0.944, 0.821, 0.826], [0.698, 0.539, 0.533], [0.563, 0.220, 0.319], [0.302, 0.461, 0.467], [0.799, 0.528, 0.820], [0.423, 0.925, 0.308], [0.201, 0.472, 0.180], [0.577, 0.075, 0.692], [0.243, 0.910, 0.063], [0.537, 0.948, 0.702], [0.861, 0.651, 0.794], [0.139, 0.349, 0.206], [0.441, 0.402, 0.543], [0.901, 0.290, 0.553], [0.099, 0.710, 0.447], [0.618, 0.216, 0.921], [0.668, 0.536, 0.041], [0.414, 0.844, 0.542], [0.559, 0.598, 0.457], [0.382, 0.784, 0.079], [0.332, 0.464, 0.959], [0.134, 0.802, 0.772], [0.586, 0.156, 0.458], [0.866, 0.198, 0.228], [0.463, 0.052, 0.298], [0.411, 0.427, 0.283], [0.817, 0.035, 0.761], [0.589, 0.573, 0.717], [0.183, 0.965, 0.239], [0.145, 0.230, 0.831], [0.855, 0.770, 0.169]], "magnetic_moment_mub_per_atom": 0.000, "n_ef_per_ev_cell": 0.00, "final_energy_ev_per_atom": -6.1324, "space_group": "No. 2", "rho_kg_m3": 2349}

---

Record 10
{"formula": "TeAsSeBr2", "functional": "GGA-PBEsol", "state": "relaxed", "cell": [[-4.022, 2.945, -2.247], [-2.961, -4.549, -0.663], [-2.185, 0.716, 4.849]], "species": ["Br", "Br", "As", "Te", "Se"], "frac_coords": [[0.500, 0.000, 0.000], [0.000, 0.500, 0.000], [0.500, 0.500, 0.500], [0.000, 0.000, 0.000], [0.000, 0.000, 0.500]], "magnetic_moment_mub_per_atom": 0.426, "e_form_raw_ev_per_atom": 0.58, "n_ef_per_ev_cell": 3.69, "space_group": "No. 123", "rho_kg_m3": 4568}

---

Record 11
{"formula": "MgSnPd2Br", "functional": "GGA-PBEsol", "state": "relaxed", "cell": [[4.936, 0.000, 0.000], [0.000, 4.936, 0.000], [0.000, 0.000, 5.462]], "species": ["Pd", "Pd", "Mg", "Sn", "Br"], "frac_coords": [[0.500, 0.000, 0.000], [0.000, 0.500, 0.000], [0.000, 0.000, 0.500], [0.000, 0.000, 0.000], [0.500, 0.500, 0.500]], "magnetic_moment_mub_per_atom": 0.000, "e_form_raw_ev_per_atom": 0.40, "n_ef_per_ev_cell": 5.12, "space_group": "No. 123", "rho_kg_m3": 5436}

---

Record 12
{"formula": "Mg5Ga", "functional": "GGA-PBEsol", "state": "relaxed", "cell": [[5.374, -0.023, 0.019], [2.668, 4.666, 0.019], [2.699, 1.558, 5.046]], "species": ["Mg", "Mg", "Mg", "Mg", "Mg", "Ga"], "frac_coords": [[0.339, 0.661, 0.000], [0.999, 0.340, 0.000], [0.835, 0.833, 0.498], [0.660, 0.001, 0.000], [0.167, 0.165, 0.502], [0.500, 0.500, 0.500]], "magnetic_moment_mub_per_atom": 0.000, "polymorph_energy_ev_per_atom": 0.000, "n_ef_per_ev_cell": 2.27, "space_group": "No. 5", "rho_kg_m3": 2510}

---

Record 13
{"formula": "Lu2Ni21B6", "functional": "GGA-PBEsol", "state": "relaxed", "cell": [[-0.327, -7.022, -2.361], [5.918, -4.417, 0.671], [-0.062, -5.562, 4.904]], "species": ["Lu", "Lu", "Ni", "Ni", "Ni", "Ni", "Ni", "Ni", "Ni", "Ni", "Ni", "Ni", "Ni", "Ni", "Ni", "Ni", "Ni", "Ni", "Ni", "Ni", "Ni", "Ni", "Ni", "B", "B", "B", "B", "B", "B"], "frac_coords": [[0.250, 0.250, 0.250], [0.750, 0.750, 0.750], [0.613, 0.613, 0.161], [0.613, 0.161, 0.613], [0.000, 0.338, 0.000], [0.387, 0.387, 0.387], [0.662, 0.338, 0.000], [0.387, 0.387, 0.839], [0.662, 0.000, 0.000], [0.000, 0.338, 0.662], [0.338, 0.000, 0.000], [0.000, 0.000, 0.000], [0.000, 0.662, 0.338], [0.161, 0.613, 0.613], [0.000, 0.662, 0.000], [0.338, 0.000, 0.662], [0.662, 0.000, 0.338], [0.387, 0.839, 0.387], [0.000, 0.000, 0.338], [0.839, 0.387, 0.387], [0.338, 0.662, 0.000], [0.613, 0.613, 0.613], [0.000, 0.000, 0.662], [0.270, 0.730, 0.730], [0.730, 0.270, 0.730], [0.730, 0.270, 0.270], [0.270, 0.270, 0.730], [0.270, 0.730, 0.270], [0.730, 0.730, 0.270]], "magnetic_moment_mub_per_atom": 0.000, "n_ef_per_ev_cell": 18.31, "final_energy_ev_per_atom": -6.6602, "space_group": "No. 225", "rho_kg_m3": 9487}

---

Record 14
{"formula": "Na2Al3As9O28", "functional": "GGA-PBEsol", "state": "relaxed", "cell": [[-5.322, 1.014, -5.225], [5.224, -6.035, -4.080], [-4.778, -3.019, 7.623]], "species": ["O", "O", "O", "O", "O", "O", "O", "O", "O", "O", "O", "O", "O", "O", "O", "O", "O", "O", "O", "O", "O", "O", "O", "O", "O", "O", "O", "O", "As", "As", "As", "As", "As", "As", "As", "As", "As", "Al", "Al", "Al", "Na", "Na"], "frac_coords": [[0.956, 0.530, 0.735], [0.168, 0.698, 0.624], [0.584, 0.533, 0.226], [0.038, 0.726, 0.119], [0.761, 0.657, 0.560], [0.346, 0.270, 0.924], [0.962, 0.274, 0.881], [0.038, 0.216, 0.602], [0.239, 0.843, 0.949], [0.962, 0.784, 0.398], [0.304, 0.086, 0.540], [0.761, 0.157, 0.051], [0.836, 0.802, 0.883], [0.416, 0.467, 0.774], [0.239, 0.343, 0.440], [0.654, 0.730, 0.076], [0.044, 0.470, 0.265], [0.580, 0.031, 0.718], [0.658, 0.226, 0.578], [0.342, 0.774, 0.422], [0.164, 0.198, 0.117], [0.695, 0.412, 0.952], [0.041, 0.963, 0.762], [0.959, 0.037, 0.238], [0.832, 0.302, 0.376], [0.696, 0.914, 0.460], [0.420, 0.969, 0.282], [0.305, 0.588, 0.048], [0.261, 0.775, 0.092], [0.126, 0.676, 0.432], [0.500, 0.000, 0.500], [0.874, 0.324, 0.568], [0.868, 0.828, 0.076], [0.267, 0.286, 0.588], [0.739, 0.225, 0.908], [0.733, 0.714, 0.412], [0.132, 0.172, 0.924], [0.998, 0.751, 0.755], [0.002, 0.249, 0.245], [0.500, 0.500, 0.000], [0.507, 0.256, 0.225], [0.493, 0.744, 0.775]], "magnetic_moment_mub_per_atom": 0.000, "e_form_raw_ev_per_atom": -1.57, "n_ef_per_ev_cell": 0.00, "space_group": "No. 2", "rho_kg_m3": 3967}

---

Record 15
{"formula": "Sc2PPb", "functional": "GGA-PBEsol", "state": "relaxed", "cell": [[-0.027, 0.719, 3.182], [2.537, -0.821, 1.879], [5.133, 8.774, -0.265]], "species": ["Pb", "P", "Sc", "Sc"], "frac_coords": [[0.500, 0.500, 0.500], [0.000, 0.000, 0.000], [0.083, 0.083, 0.750], [0.917, 0.917, 0.250]], "magnetic_moment_mub_per_atom": 0.000, "polymorph_energy_ev_per_atom": 1.041, "n_ef_per_ev_cell": 2.88, "space_group": "No. 166", "rho_kg_m3": 5915}

---

Record 16
{"formula": "NbGeH3", "functional": "GGA-PBEsol", "state": "relaxed", "cell": [[-2.319, -0.570, 2.717], [-1.203, -2.984, -1.652], [2.502, -1.963, 1.724]], "species": ["H", "H", "H", "Nb", "Ge"], "frac_coords": [[0.000, 0.500, 0.000], [0.500, 0.000, 0.000], [0.000, 0.000, 0.500], [0.000, 0.000, 0.000], [0.500, 0.500, 0.500]], "magnetic_moment_mub_per_atom": 0.000, "n_ef_per_ev_cell": 1.63, "final_energy_ev_per_atom": -4.8695, "space_group": "No. 221", "rho_kg_m3": 5915}

---

Record 17
{"formula": "Li4V3SiO10", "functional": "GGA-PBEsol", "state": "relaxed", "cell": [[-1.210, 3.433, 3.520], [-3.452, -4.037, 2.858], [6.610, -3.872, 2.422]], "species": ["Li", "Li", "Li", "Li", "V", "V", "V", "O", "O", "O", "O", "O", "O", "O", "O", "O", "O", "Si"], "frac_coords": [[0.520, 0.654, 0.897], [0.136, 0.658, 0.114], [0.629, 0.357, 0.126], [0.022, 0.348, 0.888], [0.442, 0.155, 0.724], [0.929, 0.837, 0.708], [0.206, 0.154, 0.282], [0.546, 0.093, 0.249], [0.262, 0.226, 0.502], [0.009, 0.891, 0.240], [0.029, 0.348, 0.136], [0.808, 0.109, 0.753], [0.772, 0.770, 0.480], [0.399, 0.343, 0.873], [0.290, 0.889, 0.752], [0.530, 0.665, 0.141], [0.885, 0.654, 0.857], [0.708, 0.847, 0.276]], "magnetic_moment_mub_per_atom": 0.167, "e_form_raw_ev_per_atom": -2.34, "n_ef_per_ev_cell": 6.16, "space_group": "No. 1", "rho_kg_m3": 2627}

---

Record 18
{"formula": "Cr3SnBr", "functional": "GGA-PBEsol", "state": "relaxed", "cell": [[-0.818, -3.379, -3.782], [2.836, -3.481, 2.497], [-4.205, -1.690, 2.420]], "species": ["Br", "Cr", "Cr", "Cr", "Sn"], "frac_coords": [[0.500, 0.500, 0.500], [0.500, 0.000, 0.000], [0.000, 0.500, 0.000], [0.000, 0.000, 0.500], [0.000, 0.000, 0.000]], "magnetic_moment_mub_per_atom": 2.600, "e_form_raw_ev_per_atom": 1.27, "n_ef_per_ev_cell": 1.43, "space_group": "No. 221", "rho_kg_m3": 4343}

---

Record 19
{"formula": "BaCuSe3", "functional": "GGA-PBEsol", "state": "relaxed", "cell": [[6.007, 0.000, 0.000], [0.000, 6.007, 0.000], [0.000, 0.000, 6.007]], "species": ["Ba", "Se", "Se", "Se", "Cu"], "frac_coords": [[0.000, 0.000, 0.000], [0.000, 0.000, 0.500], [0.000, 0.500, 0.000], [0.500, 0.000, 0.000], [0.500, 0.500, 0.500]], "magnetic_moment_mub_per_atom": 0.587, "e_form_raw_ev_per_atom": 0.85, "n_ef_per_ev_cell": 6.77, "space_group": "No. 221", "rho_kg_m3": 3353}

---

Record 20
{"formula": "Mo3RhO", "functional": "GGA-PBEsol", "state": "relaxed", "cell": [[-1.237, -1.578, -3.506], [1.718, -3.522, 0.979], [-3.440, -1.191, 1.750]], "species": ["Rh", "Mo", "Mo", "Mo", "O"], "frac_coords": [[0.500, 0.500, 0.500], [0.000, 0.500, 0.000], [0.500, 0.000, 0.000], [0.000, 0.000, 0.500], [0.000, 0.000, 0.000]], "magnetic_moment_mub_per_atom": 0.000, "e_form_raw_ev_per_atom": -0.33, "n_ef_per_ev_cell": 4.63, "space_group": "No. 221", "rho_kg_m3": 10252}